First-principles (GGA-PBE) data for a relaxed structure of ScV2W, as listed in the Alexandria database.

* energy above the lowest structure with this stoichiometry: 45 meV per atom

a = 6.354 Å, b = 6.354 Å, c = 6.354 Å
α = 90.00°, β = 90.00°, γ = 90.00°
Space group Fm-3m (No. 225)
Inequivalent atoms, fractional coordinates:
Sc: 0.000 0.000 0.000 [4 per cell]
V: 0.250 0.250 0.250 [8 per cell]
W: 0.000 0.000 0.500 [4 per cell]